A relaxed LaTa3Ni crystal, computed with GGA-PBE.

Results
energy = -33.93 eV for the cell shown
ΔE_f = 12.336 eV per formula unit
density = 10.8 Mg/m³
energy above the most stable polymorph in this dataset = 1692.2 meV per atom

Lattice parameters (Å, degrees): 4.849 4.849 4.849 90.00 90.00 90.00
Space group Pm-3m (No. 221)
Inequivalent atoms, fractional coordinates:
La  0.000  0.000  0.000 [1 per cell]
Ta  0.000  0.000  0.500 [3 per cell]
Ni  0.500  0.500  0.500 [1 per cell]

=====

A relaxed LaTaNi3 crystal, computed with GGA-PBE.

Results
energy = -26.84 eV for the cell shown
ΔE_f = 7.288 eV per formula unit
density = 8.4 Mg/m³
energy above the most stable polymorph in this dataset = 1106.7 meV per atom

Lattice parameters (Å, degrees): 4.606 4.606 4.606 90.00 90.00 90.00
Space group Pm-3m (No. 221)
Inequivalent atoms, fractional coordinates:
La  0.000  0.000  0.000 [1 per cell]
Ta  0.500  0.500  0.500 [1 per cell]
Ni  0.000  0.000  0.500 [3 per cell]

=====

A relaxed LaTa2Ni crystal, computed with GGA-PBE.

Results
energy = -97.43 eV for the cell shown
ΔE_f = 1.938 eV per formula unit
density = 11.9 Mg/m³
energy above the most stable polymorph in this dataset = 363.5 meV per atom

Lattice parameters (Å, degrees): 3.0241 3.0241 29.6144 90.00 90.00 120.00
Space group R-3m (No. 166, hexagonal axes)
Inequivalent atoms, fractional coordinates:
La  0.0000  0.0000  0.0000 [3 per cell]
Ta  0.0000  0.0000  0.2341 [6 per cell]
Ni  0.0000  0.0000  0.5000 [3 per cell]

=====

A relaxed LaTa2Ni crystal, computed with GGA-PBE.

Results
energy = -63.67 eV for the cell shown
ΔE_f = 2.580 eV per formula unit
density = 11.7 Mg/m³
energy above the most stable polymorph in this dataset = 523.9 meV per atom

Lattice parameters (Å, degrees): 5.455 10.097 2.883 90.00 90.00 90.00
Space group Cmmm (No. 65)
Inequivalent atoms, fractional coordinates:
La  0.000  0.000  0.000 [2 per cell]
Ta  0.250  0.250  0.500 [4 per cell]
Ni  0.000  0.500  0.000 [2 per cell]

=====

- The lowest density belongs to which entry?
  LaTaNi3

=====

- The highest energy belongs to which entry?
  LaTaNi3